Density functional theory data (PBE) for a geometry-optimized Sc6HC2O3 structure.

Lattice parameters (Å, degrees): 5.5836 5.5836 5.6237 99.54 99.54 119.94
Positions (direct):
1 Sc 0.0634 0.4162 0.7504
2 Sc 0.2312 0.2312 0.2522
3 Sc 0.4162 0.0634 0.7504
4 Sc 0.5838 0.9366 0.2496
5 Sc 0.7688 0.7688 0.7478
6 Sc 0.9366 0.5838 0.2496
7 H 0.5000 0.5000 0.0000
8 C 0.1663 0.8337 0.0000
9 C 0.8337 0.1663 0.0000
10 O 0.0000 0.0000 0.5000
11 O 0.3336 0.6664 0.5000
12 O 0.6664 0.3336 0.5000

Calculated values
Calculated total energy (eV/atom): -8.08
Theoretical density (g cm⁻³): 3.970
Calculated volume (Å³ per cell): 143.4
Space-group type: No. 12